(w)
A relaxed Pm5Sm4Dy3 crystal, computed with GGA-PBE.

Calculated values
- Calculated density: 7518 kg/m³

```
Pm5Sm4Dy3
1.0
6.261 0.000 0.000
-0.020 7.228 0.000
-0.015 -0.006 8.855
Pm Sm Dy
5 4 3
Cartesian
0.000 0.000 0.000
2.063 3.613 2.955
3.101 1.806 8.853
3.124 5.415 0.002
4.163 3.608 5.900
1.013 5.412 5.903
2.066 7.226 2.959
4.160 -0.004 5.896
5.212 1.810 2.952
-0.010 3.614 0.000
1.029 1.805 5.905
5.197 5.416 2.950
```

=====

(x)
A relaxed Pm5Sm4Dy3 crystal, computed with GGA-PBE.

Calculated values
- Calculated density: 7339 kg/m³

```
Pm5Sm4Dy3
1.0
8.168 -2.989 0.000
8.168 2.989 0.000
-4.185 0.000 8.406
Pm Sm Dy
5 4 3
Cartesian
0.000 0.000 0.000
2.780 0.000 5.145
5.696 0.000 2.509
6.455 0.000 5.897
9.371 0.000 3.261
-0.508 0.000 3.704
-0.148 0.000 7.384
12.299 0.000 1.022
12.658 0.000 4.702
2.451 0.000 1.916
8.168 0.000 0.000
9.700 0.000 6.490
```

=====

Most stable one: (w), least stable one: (x).

=====

(w)
A relaxed PmSm2Dy6 crystal, computed with GGA-PBE.

Calculated values
- Calculated density: 8009 kg/m³

```
PmSm2Dy6
1.0
7.503 0.000 0.000
-3.751 6.497 0.000
0.000 0.000 6.042
Pm Sm Dy
1 2 6
Cartesian
0.000 0.000 0.000
0.000 4.332 1.293
3.751 2.166 4.749
0.000 2.436 4.265
-1.642 5.279 4.265
2.110 1.218 1.777
1.642 5.279 4.265
5.393 1.218 1.777
3.751 4.061 1.777
```

=====

(x)
A relaxed PmSm2Dy6 crystal, computed with GGA-PBE.

Calculated values
- Calculated density: 8036 kg/m³

```
PmSm2Dy6
1.0
8.315 -5.164 0.000
8.315 5.164 0.000
-0.731 0.000 3.419
Pm Sm Dy
1 2 6
Cartesian
0.000 0.000 0.000
5.079 0.000 2.883
10.821 0.000 0.536
2.825 1.725 0.611
7.950 1.909 1.709
2.825 -1.725 0.611
13.075 1.725 2.807
7.950 -1.909 1.709
13.075 -1.725 2.807
```

=====

Most stable one: (x), least stable one: (w).

=====

(w)
A relaxed Pm2Sm3Dy6 crystal, computed with GGA-PBE.

Calculated values
- Calculated density: 7510 kg/m³

```
Pm2Sm3Dy6
1.0
3.080 -5.346 0.000
3.080 5.346 0.000
-2.083 0.000 11.520
Pm Sm Dy
2 3 6
Cartesian
3.080 3.566 0.000
3.080 -3.566 0.000
-1.042 0.000 5.760
2.039 1.757 5.760
2.039 -1.757 5.760
-0.022 1.781 8.643
1.020 0.000 2.880
-0.022 -1.781 8.643
4.099 1.781 2.877
3.058 0.000 8.640
4.099 -1.781 2.877
```

=====

(x)
A relaxed Pm2Sm3Dy6 crystal, computed with GGA-PBE.

Calculated values
- Calculated density: 7547 kg/m³

```
Pm2Sm3Dy6
1.0
-2.381 2.381 16.649
2.381 -2.381 16.649
2.381 2.381 -16.649
Pm Sm Dy
2 3 6
Cartesian
0.000 0.000 1.532
0.000 0.000 31.766
0.000 0.000 9.921
0.000 0.000 16.649
0.000 0.000 23.377
2.381 0.000 4.035
0.000 0.000 6.486
2.381 0.000 12.614
0.000 2.381 4.035
0.000 0.000 26.812
0.000 2.381 12.614
```

=====

Most stable one: (w), least stable one: (x).

=====

(w)
A relaxed PmSm5Dy5 crystal, computed with GGA-PBE.

Calculated values
- Calculated density: 7556 kg/m³

```
PmSm5Dy5
1.0
6.141 0.000 0.000
-3.071 5.318 0.000
0.000 0.000 11.502
Pm Sm Dy
1 5 5
Cartesian
0.000 0.000 0.000
-1.508 2.675 5.751
1.508 2.675 5.751
0.000 5.286 5.751
3.071 1.773 3.032
3.071 1.773 8.470
0.000 0.000 3.748
0.000 0.000 7.754
0.000 3.546 1.834
0.000 3.546 9.668
3.071 1.773 0.000
```

=====

(x)
A relaxed PmSm5Dy5 crystal, computed with GGA-PBE.

Calculated values
- Calculated density: 7633 kg/m³

```
PmSm5Dy5
1.0
6.930 0.000 0.000
2.122 6.655 0.000
1.943 1.558 8.062
Pm Sm Dy
1 5 5
Cartesian
0.000 0.000 0.000
1.061 3.327 0.000
2.061 1.451 2.887
5.474 6.090 5.851
5.521 2.123 2.211
8.934 6.762 5.176
3.403 4.756 2.498
4.097 2.840 5.251
3.465 0.000 0.000
6.898 5.372 2.811
7.592 3.456 5.564
```

=====

Most stable one: (x), least stable one: (w).